TlAgPd | PBE | relaxed

Calculated values
**Total DFT energy (no corrections)**: -3.520 eV per atom
**ΔE to the lowest computed polymorph**: 0 meV/atom
**Calculated formation energy**: -0.050 eV/atom
**DOS(E_F)**: 1.186 states/eV/f.u.

Cell and atoms, written as CIF:
```
data_TlAgPd
_cell_length_a 4.5478
_cell_length_b 8.8607
_cell_length_c 5.7881
_cell_angle_alpha 90.00
_cell_angle_beta 90.00
_cell_angle_gamma 90.00
_space_group_name_H-M_alt 'C m c m'
_space_group_IT_number 63
_space_group_name_Hall '-C 2c 2'
loop_
_atom_site_label
_atom_site_fract_x
_atom_site_fract_y
_atom_site_fract_z
Tl1 0.0000 0.1863 0.2500
Ag1 0.0000 0.5000 0.0000
Pd1 0.0000 0.1270 0.7500
```

UCdPd | PBE | relaxed

Calculated values
**Total DFT energy (no corrections)**: -6.021 eV per atom
**Calculated formation energy**: -0.222 eV/atom
**DOS(E_F)**: 4.424 states/eV/f.u.

Cell and atoms, written as CIF:
```
data_UCdPd
_cell_length_a 3.4071
_cell_length_b 3.4071
_cell_length_c 9.8825
_cell_angle_alpha 90.00
_cell_angle_beta 90.00
_cell_angle_gamma 90.00
_space_group_name_H-M_alt 'P 4/n m m'
_space_group_IT_number 129
loop_
_space_group_symop_operation_xyz
'x,y,z'
'-x,-y,-z'
'-y+1/2,x,z'
'y+1/2,-x,-z'
'-x+1/2,-y+1/2,z'
'x+1/2,y+1/2,-z'
'y,-x+1/2,z'
'-y,x+1/2,-z'
'x+1/2,-y,-z'
'-x+1/2,y,z'
'-y,-x,-z'
'y,x,z'
'-x,y+1/2,-z'
'x,-y+1/2,z'
'y+1/2,x+1/2,-z'
'-y+1/2,-x+1/2,z'
loop_
_atom_site_label
_atom_site_fract_x
_atom_site_fract_y
_atom_site_fract_z
U1 0.2500 0.2500 0.0637
Cd1 0.2500 0.2500 0.4085
Pd1 0.2500 0.2500 0.7505
```

AgB2AsCl | PBE | relaxed

Calculated values
**Total DFT energy (no corrections)**: -3.361 eV per atom
**DOS(E_F)**: 1.758 states/eV/f.u.

Cell and atoms, written as CIF:
```
data_AgB2AsCl
_cell_length_a 4.1280
_cell_length_b 4.1280
_cell_length_c 5.5948
_cell_angle_alpha 90.00
_cell_angle_beta 90.00
_cell_angle_gamma 90.00
_space_group_name_H-M_alt 'P 4/m m m'
_space_group_IT_number 123
_space_group_name_Hall '-P 4 2'
loop_
_atom_site_label
_atom_site_fract_x
_atom_site_fract_y
_atom_site_fract_z
Ag1 0.0000 0.0000 0.0000
B1 0.0000 0.5000 0.5000
As1 0.0000 0.0000 0.5000
Cl1 0.5000 0.5000 0.0000
```

Rb2ZrRu2 | PBE | relaxed

Calculated values
**Total DFT energy (no corrections)**: -3.695 eV per atom
**ΔE to the lowest computed polymorph**: 413 meV/atom
**Calculated formation energy**: 2.111 eV/atom
**DOS(E_F)**: 6.337 states/eV/f.u.

Cell and atoms, written as CIF:
```
data_Rb2ZrRu2
_cell_length_a 5.1445
_cell_length_b 5.1445
_cell_length_c 9.5842
_cell_angle_alpha 90.00
_cell_angle_beta 90.00
_cell_angle_gamma 90.00
_space_group_name_H-M_alt 'I 4/m m m'
_space_group_IT_number 139
_space_group_name_Hall '-I 4 2'
loop_
_atom_site_label
_atom_site_fract_x
_atom_site_fract_y
_atom_site_fract_z
Rb1 0.0000 0.0000 0.1426
Zr1 0.0000 0.0000 0.5000
Ru1 0.0000 0.5000 0.2500
```

LiCo2HPt | PBE | relaxed

Calculated values
**Total DFT energy (no corrections)**: -5.171 eV per atom
**DOS(E_F)**: 6.872 states/eV/f.u.

Cell and atoms, written as CIF:
```
data_LiCo2HPt
_cell_length_a 3.5465
_cell_length_b 3.5465
_cell_length_c 3.8297
_cell_angle_alpha 90.00
_cell_angle_beta 90.00
_cell_angle_gamma 90.00
_space_group_name_H-M_alt 'P 4/m m m'
_space_group_IT_number 123
_space_group_name_Hall '-P 4 2'
loop_
_atom_site_label
_atom_site_fract_x
_atom_site_fract_y
_atom_site_fract_z
Li1 0.0000 0.0000 0.0000
Co1 0.0000 0.5000 0.5000
H1 0.0000 0.0000 0.5000
Pt1 0.5000 0.5000 0.0000
```

Ce2IF | PBE | relaxed

Calculated values
**Total DFT energy (no corrections)**: -5.285 eV per atom
**DOS(E_F)**: 11.919 states/eV/f.u.

Cell and atoms, written as CIF:
```
data_Ce2IF
_cell_length_a 3.8329
_cell_length_b 3.8329
_cell_length_c 23.0279
_cell_angle_alpha 90.00
_cell_angle_beta 90.00
_cell_angle_gamma 120.00
_space_group_name_H-M_alt 'R -3 m'
_space_group_IT_number 166
_space_group_name_Hall '-R 3 2"'
loop_
_atom_site_label
_atom_site_fract_x
_atom_site_fract_y
_atom_site_fract_z
Ce1 0.0000 0.0000 0.2275
I1 0.0000 0.0000 0.0000
F1 0.0000 0.0000 0.5000
```

Tb2GaCu3 | PBE | relaxed

Calculated values
**Total DFT energy (no corrections)**: -4.420 eV per atom
**ΔE to the lowest computed polymorph**: 31 meV/atom
**Calculated formation energy**: -0.324 eV/atom
**DOS(E_F)**: 3.936 states/eV/f.u.

Cell and atoms, written as CIF:
```
data_Tb2GaCu3
_cell_length_a 3.8082
_cell_length_b 4.0639
_cell_length_c 15.2190
_cell_angle_alpha 90.00
_cell_angle_beta 90.00
_cell_angle_gamma 90.00
_space_group_name_H-M_alt 'I m m 2'
_space_group_IT_number 44
_space_group_name_Hall 'I 2 -2'
loop_
_atom_site_label
_atom_site_fract_x
_atom_site_fract_y
_atom_site_fract_z
Tb1 0.0000 0.0000 0.0000
Tb2 0.0000 0.5000 0.2597
Ga1 0.0000 0.0000 0.5914
Cu1 0.0000 0.0000 0.4286
Cu2 0.0000 0.5000 0.6747
Cu3 0.0000 0.5000 0.8344
```

SiSbPb | PBE | relaxed

Calculated values
**Total DFT energy (no corrections)**: -4.001 eV per atom
**ΔE to the lowest computed polymorph**: 190 meV/atom
**DOS(E_F)**: 1.572 states/eV/f.u.

Cell and atoms, written as CIF:
```
data_SiSbPb
_cell_length_a 3.6974
_cell_length_b 5.4822
_cell_length_c 15.2291
_cell_angle_alpha 90.00
_cell_angle_beta 90.00
_cell_angle_gamma 90.00
_space_group_name_H-M_alt 'F m m 2'
_space_group_IT_number 42
_space_group_name_Hall 'F 2 -2'
loop_
_atom_site_label
_atom_site_fract_x
_atom_site_fract_y
_atom_site_fract_z
Si1 0.0000 0.0000 0.0000
Sb1 0.0000 0.0000 0.3665
Pb1 0.0000 0.0000 0.6626
```